Below is an optimized crystal structure of TaMo4Se, with properties calculated at the PBE-GGA level.

Cell lengths 5.2711, 5.2711, 5.2711 Å; angles 60.00, 60.00, 60.00 degrees
Last column: nearest neighbours and their distance in Å.
Sites, in units of the cell vectors:
Ta1 0.0000 0.0000 0.0000  12 Mo 3.09, 4 Se 3.23
Mo1 0.1262 0.6246 0.6246  6 Mo 2.63-2.64
Mo2 0.6246 0.1262 0.6246  6 Mo 2.63-2.64
Mo3 0.6246 0.6246 0.1262  6 Mo 2.63-2.64
Mo4 0.6246 0.6246 0.6246  6 Mo 2.63-2.64
Se1 0.2500 0.2500 0.2500  12 Mo 3.09, 4 Ta 3.23

## Properties
The uncorrected formation energy comes out at 412.9 meV/atom. The density of states at the Fermi level is 3.26 states/eV/f.u. Its total energy is -56.18 eV per cell. As for the space group: F-43m (216).